! HfSi2W2, optimized geometry, DFT PBE-GGA; values from VASP
&SYSTEM
  ibrav = 0, nat = 10, ntyp = 3
/
ATOMIC_SPECIES
Hf 178.49 Hf.upf
Si 28.09 Si.upf
W 183.84 W.upf
ATOMIC_POSITIONS crystal
Hf 0.0000 0.0000 0.0000
Hf 0.5000 0.5000 0.0000
Si 0.1346 0.3654 0.0000
Si 0.3654 0.8654 0.0000
Si 0.6346 0.1346 0.0000
Si 0.8654 0.6346 0.0000
W 0.1543 0.6543 0.5000
W 0.3457 0.1543 0.5000
W 0.6543 0.8457 0.5000
W 0.8457 0.3457 0.5000
CELL_PARAMETERS angstrom
6.9435 0.0000 0.0000
0.0000 6.9435 0.0000
0.0000 0.0000 3.2467
! Density: 12.8 g/cm3
! Polymorph energy (0 for the lowest one): 0 meV per atom


! HfSiW2, optimized geometry, DFT PBE-GGA; values from VASP
&SYSTEM
  ibrav = 0, nat = 4, ntyp = 3
/
ATOMIC_SPECIES
Hf 178.49 Hf.upf
Si 28.09 Si.upf
W 183.84 W.upf
ATOMIC_POSITIONS crystal
Hf 0.0000 0.0000 0.0000
Si 0.7500 0.7500 0.7500
W 0.2500 0.2500 0.2500
W 0.5000 0.5000 0.5000
CELL_PARAMETERS angstrom
0.0000 3.2000 3.2000
3.2000 0.0000 3.2000
3.2000 3.2000 0.0000
! Uncorrected energy: -40.9 eV per cell
! Density: 14.6 g/cm3


- Look up the density of the second one.
  14.6 g/cm3


- Which value of density does entry 2 give?
  14.6 g/cm3


- Look up the density of the first one.
  12.8 g/cm3